1.
The following is a DFT calculation (PBE) of a geometry-optimized Zr7In2Au2 structure.

Computed properties:
Total DFT energy (no corrections) in eV for the cell shown: -141.2
Calculated formation energy in eV/atom: 0.12

Unit cell a=7.8078 b=10.1574 c=6.8349 alpha=90.00 beta=90.00 gamma=90.00
Space group Cmmm (No. 65)
One atom of each set of equivalent atoms:
Zr  0.0000  0.0000  0.0000
Zr  0.0000  0.5000  0.2647
Zr  0.2500  0.2500  0.2774
In  0.1748  0.0000  0.5000
Au  0.0000  0.2809  0.0000



2.
The following is a DFT calculation (PBE) of a geometry-optimized ZrIn4Au structure.

Computed properties:
Total DFT energy (no corrections) in eV for the cell shown: -84.8
Calculated formation energy in eV/atom: 0.26

Unit cell a=8.3123 b=8.3123 c=8.3123 alpha=90.00 beta=90.00 gamma=90.00
Space group F-43m (No. 216)
One atom of each set of equivalent atoms:
Zr  0.0000  0.0000  0.0000
In  0.1249  0.1249  0.3751
Au  0.2500  0.2500  0.7500



3.
The following is a DFT calculation (PBE) of a geometry-optimized Zr2InAu structure.

Computed properties:
Total DFT energy (no corrections) in eV for the cell shown: -49.0
Calculated formation energy in eV/atom: -0.35

Unit cell a=11.3646 b=3.3152 c=5.0789 alpha=90.00 beta=116.41 gamma=90.00
Space group Cm (No. 8)
One atom of each set of equivalent atoms:
Zr  0.0000  0.0000  0.0000
Zr  0.2429  0.0000  0.7460
In  0.2743  0.5000  0.2773
Au  0.0063  0.5000  0.5054



4.
The following is a DFT calculation (PBE) of a geometry-optimized Zr5InAu4 structure.

Computed properties:
Total DFT energy (no corrections) in eV for the cell shown: -63.3
Calculated formation energy in eV/atom: -0.47

Unit cell a=3.1451 b=3.1451 c=20.5467 alpha=90.00 beta=90.00 gamma=90.00
Space group P4/mmm (No. 123)
One atom of each set of equivalent atoms:
Zr  0.0000  0.0000  0.0000
Zr  0.0000  0.0000  0.1961
Zr  0.0000  0.0000  0.3917
In  0.5000  0.5000  0.5000
Au  0.5000  0.5000  0.0979
Au  0.5000  0.5000  0.2945



5.
The following is a DFT calculation (PBE) of a geometry-optimized Zr2InAu structure.

Computed properties:
Total DFT energy (no corrections) in eV for the cell shown: -48.7
Calculated formation energy in eV/atom: -0.31

Unit cell a=4.1991 b=4.1991 c=9.6196 alpha=90.00 beta=90.00 gamma=90.00
Space group I-4m2 (No. 119)
One atom of each set of equivalent atoms:
Zr  0.0000  0.0000  0.0000
Zr  0.0000  0.5000  0.2500
In  0.0000  0.0000  0.5000
Au  0.0000  0.5000  0.7500



6.
The following is a DFT calculation (PBE) of a geometry-optimized ZrInAu3 structure.

Computed properties:
Distance to the lowest polymorph of the same formula in eV/atom: 0.000
Total DFT energy (no corrections) in eV for the cell shown: -45.6
Calculated formation energy in eV/atom: -0.34

Unit cell a=4.7890 b=3.5151 c=12.0775 alpha=90.00 beta=97.50 gamma=90.00
Space group Pm (No. 6)
One atom of each set of equivalent atoms:
Zr  0.0000  0.0000  0.0000
Zr  0.4218  0.0000  0.7578
In  0.5841  0.5000  0.3445
In  0.8566  0.0000  0.5903
Au  0.0520  0.5000  0.1889
Au  0.0815  0.0000  0.3835
Au  0.3533  0.5000  0.5638
Au  0.4868  0.5000  0.9485
Au  0.5410  0.0000  0.1418
Au  0.9415  0.5000  0.8080